Computed, not measured: a relaxed Te2PbS crystal at the GGA-PBE level of DFT.

E_form (uncorrected)	0.3148	eV/atom
D(E_F)	3.2	states/eV/cell
crystal system	trigonal

Geometry as POSCAR:
```
Te2PbS
1.0
1.746 1.008 10.534
-1.746 1.008 10.534
0.000 -2.016 10.534
Te Pb S
2 1 1
Direct
0.102 0.102 0.102 Te
0.898 0.898 0.898 Te
0.000 0.000 0.000 Pb
0.500 0.500 0.500 S
```